Material: Y2MnPtF
Method: DFT, GGA+U
State: relaxed

abc: 5.405 5.066 5.405
angles: 90.00 90.00 90.00
Site moments in Bohr magnetons follow the coordinates.
Fractional coordinates of all 5 atoms:
Y: 0.000 0.000 0.500  -0.03
Y: 0.500 0.000 0.000  -0.05
Mn: 0.000 0.500 0.000  4.56
F: 0.500 0.500 0.500  0.01
Pt: 0.000 0.000 0.000  0.04

Output
Total energy   -6.244 eV/atom
Crystal system   tetragonal
Symmetry   No. 123
Fermi-level density of states   2.3 states/eV/f.u.

***

Material: PuMn2F8
Method: DFT, GGA+U
State: relaxed

abc: 5.318 5.318 6.580
angles: 113.83 113.83 90.00
Site moments in Bohr magnetons follow the coordinates.
Fractional coordinates of all 11 atoms:
Mn: 0.750 0.250 0.500  4.71
Mn: 0.250 0.750 0.500  4.71
F: 0.605 0.607 0.738  0.01
F: 0.395 0.869 0.262  0.01
F: 0.869 0.867 0.262  0.01
F: 0.133 0.131 0.738  0.01
F: 0.867 0.393 0.262  0.01
F: 0.607 0.133 0.738  0.01
F: 0.131 0.605 0.738  0.01
F: 0.393 0.395 0.262  0.01
Pu: 0.500 0.500 0.000  4.12

Output
Total energy   -6.984 eV/atom
Crystal system   tetragonal
Symmetry   No. 97
Fermi-level density of states   2.9 states/eV/f.u.

***

Material: PuMnF4
Method: DFT, GGA+U
State: relaxed

abc: 3.989 5.639 8.165
angles: 90.00 104.14 90.00
Site moments in Bohr magnetons follow the coordinates.
Fractional coordinates of all 12 atoms:
F: 0.295 0.080 0.590  0.02
F: 0.094 0.759 0.189  0.00
F: 0.441 0.847 0.882  0.01
F: 0.559 0.347 0.118  0.01
F: 0.705 0.580 0.410  0.02
F: 0.906 0.259 0.811  0.00
F: 0.312 0.560 0.625  0.00
F: 0.688 0.060 0.375  0.00
Mn: 0.570 0.840 0.140  -1.27
Mn: 0.430 0.340 0.860  -1.27
Pu: 0.828 0.847 0.656  -5.48
Pu: 0.172 0.347 0.344  -5.48

Output
Total energy   -7.219 eV/atom
Crystal system   orthorhombic
Symmetry   No. 36
Fermi-level density of states   10.6 states/eV/f.u.

***

> What is the Fermi-level density of states in the third record?

10.6 states/eV/f.u.

***

> Among the records above, which one has the lowest Fermi-level density of states?

Y2MnPtF